(1)
NdPaFeN4 PBE optimized geometry; E_form (uncorrected) = -872 meV/atom; calculated density = 8.478 g/cm3
1.0
5.681 0.000 0.000
0.000 5.139 0.000
-2.077 0.000 6.537
Nd Pa Fe N
2 2 2 8
Direct
0.212 0.250 0.433 Nd
0.788 0.750 0.567 Nd
0.261 0.250 0.945 Pa
0.739 0.750 0.055 Pa
0.271 0.750 0.199 Fe
0.729 0.250 0.801 Fe
0.060 0.750 0.352 N
0.085 0.750 0.936 N
0.499 0.005 0.769 N
0.499 0.495 0.769 N
0.501 0.505 0.231 N
0.501 0.995 0.231 N
0.915 0.250 0.064 N
0.940 0.250 0.648 N

(2)
SiAsN2F PBE optimized geometry; E_form (uncorrected) = -111 meV/atom; ΔE to the lowest computed polymorph = 0 meV/atom; calculated density = 5.080 g/cm3
1.0
3.728 0.000 0.000
0.000 3.728 0.000
0.000 0.000 3.528
Si As N F
1 1 2 1
Direct
0.000 0.000 0.000 Si
0.500 0.500 0.500 As
0.000 0.500 0.000 N
0.500 0.000 0.000 N
0.000 0.000 0.500 F

no.,N(E_F) (states/eV/f.u.)
1,4.3
2,1.3